Here is crystalline Hf2MgAs2 at its relaxed geometry from Alexandria. Energies are from PBE-GGA.

Summary:
- Energy: -68.4 eV per cell

abc: 7.3600 7.3600 3.5432
angles: 90.00 90.00 90.00
Last column: nearest neighbours and their distance in Å.
Sites, in units of the cell vectors:
As: 0.3511 0.8511 0.0000  6 Hf 2.78-2.80, 2 Mg 2.81, 1 As 3.10
As: 0.8511 0.6489 0.0000  6 Hf 2.78-2.80, 2 Mg 2.81, 1 As 3.10
As: 0.6489 0.1489 0.0000  6 Hf 2.78-2.80, 2 Mg 2.81, 1 As 3.10
As: 0.1489 0.3511 0.0000  6 Hf 2.78-2.80, 2 Mg 2.81, 1 As 3.10
Hf: 0.1450 0.6450 0.5000  6 As 2.78-2.80, 1 Hf 3.02
Hf: 0.6450 0.8550 0.5000  6 As 2.78-2.80, 1 Hf 3.02
Hf: 0.8550 0.3550 0.5000  6 As 2.78-2.80, 1 Hf 3.02
Hf: 0.3550 0.1450 0.5000  6 As 2.78-2.80, 1 Hf 3.02
Mg: 0.0000 0.0000 0.0000  4 As 2.81
Mg: 0.5000 0.5000 0.0000  4 As 2.81